# 1
# PBE SrLiTl2, optimized geometry
# **DOS(E_F)**: 2.01 states/eV/f.u.
# **Magnetic moment**: 0.00 μB/f.u.
# **DFT total energy**: -0.0844 Ha/atom
data_SrLiTl2
_chemical_formula_sum 'Sr2 Li2 Tl4'
_space_group_name_H-M_alt 'I m m 2'
_space_group_IT_number 44
_space_group_name_Hall 'I 2 -2'
_cell_length_a 4.171
_cell_length_b 5.456
_cell_length_c 10.473
_cell_angle_alpha 90.00
_cell_angle_beta 90.00
_cell_angle_gamma 90.00
loop_
_atom_site_label
_atom_site_fract_x
_atom_site_fract_y
_atom_site_fract_z
Sr1 0.000 0.000 0.000
Li1 0.000 0.500 0.776
Tl1 0.000 0.000 0.495
Tl2 0.000 0.500 0.236

# 2
# PBE SrLi4Tl, optimized geometry
# **DOS(E_F)**: 2.52 states/eV/f.u.
# **Magnetic moment**: 0.51 μB/f.u.
# **DFT total energy**: -0.0766 Ha/atom
data_SrLi4Tl
_chemical_formula_sum 'Sr4 Li16 Tl4'
_space_group_name_H-M_alt 'F -4 3 m'
_space_group_IT_number 216
_space_group_name_Hall 'F -4 2 3'
_cell_length_a 8.199
_cell_length_b 8.199
_cell_length_c 8.199
_cell_angle_alpha 90.00
_cell_angle_beta 90.00
_cell_angle_gamma 90.00
loop_
_atom_site_label
_atom_site_fract_x
_atom_site_fract_y
_atom_site_fract_z
Sr1 0.000 0.000 0.000
Li1 0.122 0.122 0.378
Tl1 0.250 0.250 0.750

# 3
# PBE SrLiTl3, optimized geometry
# **DOS(E_F)**: 5.96 states/eV/f.u.
# **Magnetic moment**: 0.00 μB/f.u.
# **DFT total energy**: -0.0606 Ha/atom
data_SrLiTl3
_chemical_formula_sum 'Sr1 Li1 Tl3'
_space_group_name_H-M_alt 'P m -3 m'
_space_group_IT_number 221
_space_group_name_Hall '-P 4 2 3'
_cell_length_a 6.224
_cell_length_b 6.224
_cell_length_c 6.224
_cell_angle_alpha 90.00
_cell_angle_beta 90.00
_cell_angle_gamma 90.00
loop_
_atom_site_label
_atom_site_fract_x
_atom_site_fract_y
_atom_site_fract_z
Sr1 0.000 0.000 0.000
Li1 0.500 0.500 0.500
Tl1 0.000 0.000 0.500

# 4
# PBE Sr2Li2Tl, optimized geometry
# **DOS(E_F)**: 4.77 states/eV/f.u.
# **Magnetic moment**: 0.00 μB/f.u.
# **DFT total energy**: -0.0682 Ha/atom
data_Sr2Li2Tl
_chemical_formula_sum 'Sr4 Li4 Tl2'
_space_group_name_H-M_alt 'P 4/m b m'
_space_group_IT_number 127
_space_group_name_Hall '-P 4 2ab'
_cell_length_a 9.276
_cell_length_b 9.276
_cell_length_c 4.284
_cell_angle_alpha 90.00
_cell_angle_beta 90.00
_cell_angle_gamma 90.00
loop_
_atom_site_label
_atom_site_fract_x
_atom_site_fract_y
_atom_site_fract_z
Sr1 0.164 0.336 0.000
Li1 0.128 0.628 0.500
Tl1 0.000 0.000 0.000

# 5
# PBE SrLi3Tl9, optimized geometry
# **DOS(E_F)**: 6.00 states/eV/f.u.
# **Magnetic moment**: 0.00 μB/f.u.
# **DFT total energy**: -0.0868 Ha/atom
data_SrLi3Tl9
_chemical_formula_sum 'Sr2 Li6 Tl18'
_space_group_name_H-M_alt 'C 1 2/m 1'
_space_group_IT_number 12
_space_group_name_Hall '-C 2y'
_cell_length_a 6.200
_cell_length_b 15.614
_cell_length_c 7.837
_cell_angle_alpha 90.00
_cell_angle_beta 111.73
_cell_angle_gamma 90.00
loop_
_atom_site_label
_atom_site_fract_x
_atom_site_fract_y
_atom_site_fract_z
Sr1 0.000 0.000 0.000
Li1 0.000 0.500 0.500
Li2 0.250 0.250 0.000
Tl1 0.000 0.000 0.500
Tl2 0.082 0.389 0.217
Tl3 0.152 0.179 0.333

# 6
# PBE SrLiTm2Tl4, optimized geometry
# **DOS(E_F)**: 4.08 states/eV/f.u.
# **Magnetic moment**: 0.00 μB/f.u.
# **DFT total energy**: -0.1112 Ha/atom
data_SrLiTm2Tl4
_chemical_formula_sum 'Sr3 Li3 Tm6 Tl12'
_space_group_name_H-M_alt 'R -3 m'
_space_group_IT_number 166
_space_group_name_Hall '-R 3 2"'
_cell_length_a 5.2971
_cell_length_b 5.2971
_cell_length_c 27.2553
_cell_angle_alpha 90.00
_cell_angle_beta 90.00
_cell_angle_gamma 120.00
loop_
_atom_site_label
_atom_site_fract_x
_atom_site_fract_y
_atom_site_fract_z
Sr1 0.0000 0.0000 0.0000
Li1 0.0000 0.0000 0.5000
Tm1 0.0000 0.0000 0.2434
Tl1 0.0000 0.0000 0.1281
Tl2 0.0000 0.0000 0.3852

# 7
# PBE Sr2Li2TmTl5, optimized geometry
# **DOS(E_F)**: 3.22 states/eV/f.u.
# **Magnetic moment**: 0.00 μB/f.u.
# **DFT total energy**: -0.0979 Ha/atom
data_Sr2Li2TmTl5
_chemical_formula_sum 'Sr4 Li4 Tm2 Tl10'
_space_group_name_H-M_alt 'P 4/m b m'
_space_group_IT_number 127
_space_group_name_Hall '-P 4 2ab'
_cell_length_a 11.745
_cell_length_b 11.745
_cell_length_c 3.944
_cell_angle_alpha 90.00
_cell_angle_beta 90.00
_cell_angle_gamma 90.00
loop_
_atom_site_label
_atom_site_fract_x
_atom_site_fract_y
_atom_site_fract_z
Sr1 0.177 0.323 0.000
Li1 0.122 0.622 0.000
Tm1 0.000 0.000 0.000
Tl1 0.000 0.500 0.500
Tl2 0.065 0.793 0.500

# 8
# PBE Sr2LiTmTl6, optimized geometry
# **DOS(E_F)**: 3.90 states/eV/f.u.
# **Magnetic moment**: 0.00 μB/f.u.
# **DFT total energy**: -0.0943 Ha/atom
data_Sr2LiTmTl6
_chemical_formula_sum 'Sr2 Li1 Tm1 Tl6'
_space_group_name_H-M_alt 'P -1'
_space_group_IT_number 2
_space_group_name_Hall '-P 1'
_cell_length_a 7.518
_cell_length_b 7.530
_cell_length_c 7.755
_cell_angle_alpha 61.55
_cell_angle_beta 61.11
_cell_angle_gamma 60.85
loop_
_atom_site_label
_atom_site_fract_x
_atom_site_fract_y
_atom_site_fract_z
Sr1 0.200 0.192 0.413
Li1 0.000 0.000 0.000
Tm1 0.500 0.500 0.500
Tl1 0.140 0.675 0.848
Tl2 0.323 0.665 0.151
Tl3 0.336 0.141 0.854

# 9
# PBE SrLiTmTl, optimized geometry
# **DOS(E_F)**: 3.28 states/eV/f.u.
# **Magnetic moment**: 0.00 μB/f.u.
# **DFT total energy**: -0.1006 Ha/atom
data_SrLiTmTl
_chemical_formula_sum 'Sr4 Li4 Tm4 Tl4'
_space_group_name_H-M_alt 'F -4 3 m'
_space_group_IT_number 216
_space_group_name_Hall 'F -4 2 3'
_cell_length_a 7.760
_cell_length_b 7.760
_cell_length_c 7.760
_cell_angle_alpha 90.00
_cell_angle_beta 90.00
_cell_angle_gamma 90.00
loop_
_atom_site_label
_atom_site_fract_x
_atom_site_fract_y
_atom_site_fract_z
Sr1 0.000 0.000 0.000
Li1 0.250 0.250 0.750
Tm1 0.000 0.000 0.500
Tl1 0.250 0.250 0.250

# 10
# PBE SrLiTlV2, optimized geometry
# **DOS(E_F)**: 3.78 states/eV/f.u.
# **Magnetic moment**: 7.78 μB/f.u.
# **DFT total energy**: -0.1470 Ha/atom
data_SrLiTlV2
_chemical_formula_sum 'Sr1 Li1 Tl1 V2'
_space_group_name_H-M_alt 'P 4/m m m'
_space_group_IT_number 123
_space_group_name_Hall '-P 4 2'
_cell_length_a 5.342
_cell_length_b 5.342
_cell_length_c 5.045
_cell_angle_alpha 90.00
_cell_angle_beta 90.00
_cell_angle_gamma 90.00
loop_
_atom_site_label
_atom_site_fract_x
_atom_site_fract_y
_atom_site_fract_z
Sr1 0.000 0.000 0.000
Li1 0.500 0.500 0.000
Tl1 0.500 0.500 0.500
V1 0.000 0.500 0.500

# 11
# PBE SrLiYTl, optimized geometry
# **DOS(E_F)**: 3.33 states/eV/f.u.
# **Magnetic moment**: 0.00 μB/f.u.
# **DFT total energy**: -0.1204 Ha/atom
data_SrLiYTl
_chemical_formula_sum 'Sr4 Li4 Y4 Tl4'
_space_group_name_H-M_alt 'F -4 3 m'
_space_group_IT_number 216
_space_group_name_Hall 'F -4 2 3'
_cell_length_a 7.810
_cell_length_b 7.810
_cell_length_c 7.810
_cell_angle_alpha 90.00
_cell_angle_beta 90.00
_cell_angle_gamma 90.00
loop_
_atom_site_label
_atom_site_fract_x
_atom_site_fract_y
_atom_site_fract_z
Sr1 0.000 0.000 0.000
Li1 0.250 0.250 0.750
Y1 0.000 0.000 0.500
Tl1 0.250 0.250 0.250

# 12
# PBE SrLiY2Tl4, optimized geometry
# **DOS(E_F)**: 4.43 states/eV/f.u.
# **Magnetic moment**: 0.00 μB/f.u.
# **DFT total energy**: -0.1308 Ha/atom
data_SrLiY2Tl4
_chemical_formula_sum 'Sr3 Li3 Y6 Tl12'
_space_group_name_H-M_alt 'R -3 m'
_space_group_IT_number 166
_space_group_name_Hall '-R 3 2"'
_cell_length_a 5.3360
_cell_length_b 5.3360
_cell_length_c 27.3945
_cell_angle_alpha 90.00
_cell_angle_beta 90.00
_cell_angle_gamma 120.00
loop_
_atom_site_label
_atom_site_fract_x
_atom_site_fract_y
_atom_site_fract_z
Sr1 0.0000 0.0000 0.0000
Li1 0.0000 0.0000 0.5000
Y1 0.0000 0.0000 0.2429
Tl1 0.0000 0.0000 0.1274
Tl2 0.0000 0.0000 0.3844

# 13
# PBE SrLi4Tl2Zn, optimized geometry
# **DOS(E_F)**: 3.88 states/eV/f.u.
# **Magnetic moment**: 0.00 μB/f.u.
# **DFT total energy**: -0.0776 Ha/atom
data_SrLi4Tl2Zn
_chemical_formula_sum 'Sr3 Li12 Tl6 Zn3'
_space_group_name_H-M_alt 'R -3 m'
_space_group_IT_number 166
_space_group_name_Hall '-R 3 2"'
_cell_length_a 4.7214
_cell_length_b 4.7214
_cell_length_c 27.9934
_cell_angle_alpha 90.00
_cell_angle_beta 90.00
_cell_angle_gamma 120.00
loop_
_atom_site_label
_atom_site_fract_x
_atom_site_fract_y
_atom_site_fract_z
Sr1 0.0000 0.0000 0.0000
Li1 0.0000 0.0000 0.1368
Li2 0.0000 0.0000 0.4095
Tl1 0.0000 0.0000 0.2433
Zn1 0.0000 0.0000 0.5000

# 14
# PBE SrLi2ZrTl, optimized geometry
# **DOS(E_F)**: 6.27 states/eV/f.u.
# **Magnetic moment**: 3.73 μB/f.u.
# **DFT total energy**: -0.0859 Ha/atom
data_SrLi2ZrTl
_chemical_formula_sum 'Sr1 Li2 Zr1 Tl1'
_space_group_name_H-M_alt 'P 4/m m m'
_space_group_IT_number 123
_space_group_name_Hall '-P 4 2'
_cell_length_a 5.418
_cell_length_b 5.418
_cell_length_c 6.174
_cell_angle_alpha 90.00
_cell_angle_beta 90.00
_cell_angle_gamma 90.00
loop_
_atom_site_label
_atom_site_fract_x
_atom_site_fract_y
_atom_site_fract_z
Sr1 0.000 0.000 0.000
Li1 0.000 0.500 0.500
Zr1 0.000 0.000 0.500
Tl1 0.500 0.500 0.000

# 15
# PBE SrLi2Tm, optimized geometry
# **DOS(E_F)**: 3.25 states/eV/f.u.
# **Magnetic moment**: 0.00 μB/f.u.
# **DFT total energy**: -0.0863 Ha/atom
data_SrLi2Tm
_chemical_formula_sum 'Sr1 Li2 Tm1'
_space_group_name_H-M_alt 'P 4/m m m'
_space_group_IT_number 123
_space_group_name_Hall '-P 4 2'
_cell_length_a 3.865
_cell_length_b 3.865
_cell_length_c 8.052
_cell_angle_alpha 90.00
_cell_angle_beta 90.00
_cell_angle_gamma 90.00
loop_
_atom_site_label
_atom_site_fract_x
_atom_site_fract_y
_atom_site_fract_z
Sr1 0.000 0.000 0.000
Li1 0.500 0.500 0.284
Tm1 0.000 0.000 0.500

# 16
# PBE SrLiTm2, optimized geometry
# **DOS(E_F)**: 5.86 states/eV/f.u.
# **Magnetic moment**: 0.64 μB/f.u.
# **DFT total energy**: -0.1007 Ha/atom
data_SrLiTm2
_chemical_formula_sum 'Sr3 Li3 Tm6'
_space_group_name_H-M_alt 'R -3 m'
_space_group_IT_number 166
_space_group_name_Hall '-R 3 2"'
_cell_length_a 3.5134
_cell_length_b 3.5134
_cell_length_c 36.4967
_cell_angle_alpha 90.00
_cell_angle_beta 90.00
_cell_angle_gamma 120.00
loop_
_atom_site_label
_atom_site_fract_x
_atom_site_fract_y
_atom_site_fract_z
Sr1 0.0000 0.0000 0.0000
Li1 0.0000 0.0000 0.5000
Tm1 0.0000 0.0000 0.0953

# 17
# PBE SrLi4Tm, optimized geometry
# **DOS(E_F)**: 7.53 states/eV/f.u.
# **Magnetic moment**: 0.00 μB/f.u.
# **DFT total energy**: -0.0798 Ha/atom
data_SrLi4Tm
_chemical_formula_sum 'Sr4 Li16 Tm4'
_space_group_name_H-M_alt 'F -4 3 m'
_space_group_IT_number 216
_space_group_name_Hall 'F -4 2 3'
_cell_length_a 8.661
_cell_length_b 8.661
_cell_length_c 8.661
_cell_angle_alpha 90.00
_cell_angle_beta 90.00
_cell_angle_gamma 90.00
loop_
_atom_site_label
_atom_site_fract_x
_atom_site_fract_y
_atom_site_fract_z
Sr1 0.000 0.000 0.000
Li1 0.123 0.123 0.377
Tm1 0.250 0.250 0.750

# 18
# PBE SrLi2Tm, optimized geometry
# **DOS(E_F)**: 4.57 states/eV/f.u.
# **Magnetic moment**: 0.00 μB/f.u.
# **DFT total energy**: -0.0846 Ha/atom
data_SrLi2Tm
_chemical_formula_sum 'Sr4 Li8 Tm4'
_space_group_name_H-M_alt 'F m -3 m'
_space_group_IT_number 225
_space_group_name_Hall '-F 4 2 3'
_cell_length_a 7.843
_cell_length_b 7.843
_cell_length_c 7.843
_cell_angle_alpha 90.00
_cell_angle_beta 90.00
_cell_angle_gamma 90.00
loop_
_atom_site_label
_atom_site_fract_x
_atom_site_fract_y
_atom_site_fract_z
Sr1 0.000 0.000 0.000
Li1 0.250 0.250 0.250
Tm1 0.000 0.000 0.500

# 19
# PBE SrLiTmZn, optimized geometry
# **DOS(E_F)**: 3.91 states/eV/f.u.
# **Magnetic moment**: 0.00 μB/f.u.
# **DFT total energy**: -0.0855 Ha/atom
data_SrLiTmZn
_chemical_formula_sum 'Sr4 Li4 Tm4 Zn4'
_space_group_name_H-M_alt 'F -4 3 m'
_space_group_IT_number 216
_space_group_name_Hall 'F -4 2 3'
_cell_length_a 7.538
_cell_length_b 7.538
_cell_length_c 7.538
_cell_angle_alpha 90.00
_cell_angle_beta 90.00
_cell_angle_gamma 90.00
loop_
_atom_site_label
_atom_site_fract_x
_atom_site_fract_y
_atom_site_fract_z
Sr1 0.000 0.000 0.000
Li1 0.250 0.250 0.750
Tm1 0.000 0.000 0.500
Zn1 0.250 0.250 0.250

# 20
# PBE Sr3LiV, optimized geometry
# **DOS(E_F)**: 4.38 states/eV/f.u.
# **Magnetic moment**: 5.20 μB/f.u.
# **DFT total energy**: -0.0952 Ha/atom
data_Sr3LiV
_chemical_formula_sum 'Sr3 Li1 V1'
_space_group_name_H-M_alt 'P m -3 m'
_space_group_IT_number 221
_space_group_name_Hall '-P 4 2 3'
_cell_length_a 6.276
_cell_length_b 6.276
_cell_length_c 6.276
_cell_angle_alpha 90.00
_cell_angle_beta 90.00
_cell_angle_gamma 90.00
loop_
_atom_site_label
_atom_site_fract_x
_atom_site_fract_y
_atom_site_fract_z
Sr1 0.000 0.000 0.500
Li1 0.500 0.500 0.500
V1 0.000 0.000 0.000